Compound: Pm2PuPaN6
Source: Alexandria via LeMat-Bulk
Functional: GGA-PBE
Structure: relaxed

a = 5.9690 Å, b = 5.9690 Å, c = 14.5565 Å
α = 90.00°, β = 90.00°, γ = 120.00°
Space group R3 (No. 146, hexagonal axes)
One atom of each set of equivalent atoms:
Pm  0.0000  0.0000  0.0000 (multiplicity 3)
Pm  0.0000  0.0000  0.4984 (multiplicity 3)
Pu  0.0000  0.0000  0.7302 (multiplicity 3)
Pa  0.0000  0.0000  0.2332 (multiplicity 3)
N  0.0740  0.3378  0.8044 (multiplicity 9)
N  0.0844  0.7189  0.3086 (multiplicity 9)

Results
Calculated density (g/cm³): 9.4
VASP energy (eV per atom): -9.57

---

Compound: Pm2PuPaN4
Source: Alexandria via LeMat-Bulk
Functional: GGA-PBE
Structure: relaxed

a = 6.1359 Å, b = 3.5554 Å, c = 6.1626 Å
α = 90.00°, β = 109.66°, γ = 90.00°
Space group P2/m (No. 10)
One atom of each set of equivalent atoms:
Pm  0.0000  0.0000  0.0000 (multiplicity 1)
Pm  0.5000  0.5000  0.0000 (multiplicity 1)
Pu  0.0000  0.5000  0.5000 (multiplicity 1)
Pa  0.5000  0.0000  0.5000 (multiplicity 1)
N  0.2490  0.0000  0.7249 (multiplicity 2)
N  0.2688  0.5000  0.2752 (multiplicity 2)

Results
Calculated density (g/cm³): 10.8
Density of states at the Fermi level (states/eV/f.u.): 8.13
VASP energy (eV per atom): -9.82

---

Compound: PmPuPa2N4
Source: Alexandria via LeMat-Bulk
Functional: GGA-PBE
Structure: relaxed

a = 6.0981 Å, b = 3.5364 Å, c = 6.1459 Å
α = 90.00°, β = 109.70°, γ = 90.00°
Space group P2/m (No. 10)
One atom of each set of equivalent atoms:
Pm  0.0000  0.0000  0.0000 (multiplicity 1)
Pu  0.0000  0.5000  0.5000 (multiplicity 1)
Pa  0.5000  0.0000  0.5000 (multiplicity 1)
Pa  0.5000  0.5000  0.0000 (multiplicity 1)
N  0.2737  0.0000  0.7566 (multiplicity 2)
N  0.2778  0.5000  0.2613 (multiplicity 2)

Results
Calculated density (g/cm³): 12.1
Density of states at the Fermi level (states/eV/f.u.): 8.64
VASP energy (eV per atom): -10.45

---

Compound: PmPu2PaN4
Source: Alexandria via LeMat-Bulk
Functional: GGA-PBE
Structure: relaxed

a = 6.0853 Å, b = 3.5352 Å, c = 6.1180 Å
α = 90.00°, β = 109.57°, γ = 90.00°
Space group P2/m (No. 10)
One atom of each set of equivalent atoms:
Pm  0.0000  0.0000  0.0000 (multiplicity 1)
Pu  0.5000  0.0000  0.5000 (multiplicity 1)
Pu  0.5000  0.5000  0.0000 (multiplicity 1)
Pa  0.0000  0.5000  0.5000 (multiplicity 1)
N  0.2406  0.0000  0.7319 (multiplicity 2)
N  0.2546  0.5000  0.2703 (multiplicity 2)

Results
Calculated density (g/cm³): 12.3
Density of states at the Fermi level (states/eV/f.u.): 11.45
VASP energy (eV per atom): -10.94

---

Compound: PmPa2RhN5
Source: Alexandria via LeMat-Bulk
Functional: GGA-PBE
Structure: relaxed

a = 3.4255 Å, b = 13.9228 Å, c = 10.2828 Å
α = 90.00°, β = 90.00°, γ = 90.00°
Space group Cmc2_1 (No. 36)
One atom of each set of equivalent atoms:
Pm  0.0000  0.2008  0.0000 (multiplicity 4)
Pa  0.0000  0.1011  0.6897 (multiplicity 4)
Pa  0.0000  0.1328  0.2989 (multiplicity 4)
Rh  0.0000  0.4783  0.4681 (multiplicity 4)
N  0.0000  0.0484  0.0957 (multiplicity 4)
N  0.0000  0.2824  0.7004 (multiplicity 4)
N  0.0000  0.3465  0.3484 (multiplicity 4)
N  0.0000  0.3724  0.0251 (multiplicity 4)
N  0.0000  0.4769  0.7833 (multiplicity 4)

Results
Calculated density (g/cm³): 10.6
Density of states at the Fermi level (states/eV/f.u.): 2.87
VASP energy (eV per atom): -9.10

---

Compound: Pm2PaRhN4
Source: Alexandria via LeMat-Bulk
Functional: GGA-PBE
Structure: relaxed

a = 3.4234 Å, b = 11.6572 Å, c = 11.9839 Å
α = 90.00°, β = 90.00°, γ = 90.00°
Space group Cmcm (No. 63)
One atom of each set of equivalent atoms:
Pm  0.0000  0.1288  0.0550 (multiplicity 8)
Pa  0.0000  0.3861  0.2500 (multiplicity 4)
Rh  0.0000  0.3523  0.7500 (multiplicity 4)
N  0.0000  0.0316  0.2500 (multiplicity 4)
N  0.0000  0.2087  0.6386 (multiplicity 8)
N  0.0000  0.5000  0.0000 (multiplicity 4)

Results
Calculated density (g/cm³): 9.4
Density of states at the Fermi level (states/eV/f.u.): 5.14
VASP energy (eV per atom): -8.47

---

Compound: PmPa2RuN4
Source: Alexandria via LeMat-Bulk
Functional: GGA-PBE
Structure: relaxed

a = 3.4160 Å, b = 11.8224 Å, c = 11.7273 Å
α = 90.00°, β = 90.00°, γ = 90.00°
Space group Cmcm (No. 63)
One atom of each set of equivalent atoms:
Pm  0.0000  0.1069  0.2500 (multiplicity 4)
Pa  0.0000  0.3694  0.0586 (multiplicity 8)
Ru  0.0000  0.1544  0.7500 (multiplicity 4)
N  0.0000  0.0000  0.0000 (multiplicity 4)
N  0.0000  0.2743  0.6102 (multiplicity 8)
N  0.0000  0.4558  0.2500 (multiplicity 4)

Results
Calculated density (g/cm³): 10.7
Density of states at the Fermi level (states/eV/f.u.): 2.32
VASP energy (eV per atom): -9.54

---

Compound: Pm2PaS2N2
Source: Alexandria via LeMat-Bulk
Functional: GGA-PBE
Structure: relaxed

a = 4.3267 Å, b = 4.3267 Å, c = 15.0297 Å
α = 90.00°, β = 90.00°, γ = 90.00°
Space group I4/mmm (No. 139)
One atom of each set of equivalent atoms:
Pm  0.0000  0.0000  0.1316 (multiplicity 4)
Pa  0.0000  0.0000  0.5000 (multiplicity 2)
S  0.0000  0.0000  0.3182 (multiplicity 4)
N  0.0000  0.5000  0.0000 (multiplicity 4)

Results
Calculated density (g/cm³): 7.2
Density of states at the Fermi level (states/eV/f.u.): 4.10
VASP energy (eV per atom): -7.88

---

Compound: PmPaSbN2
Source: Alexandria via LeMat-Bulk
Functional: GGA-PBE
Structure: relaxed

a = 3.9660 Å, b = 3.9660 Å, c = 13.4749 Å
α = 90.00°, β = 90.00°, γ = 90.00°
Space group I4mm (No. 107)
One atom of each set of equivalent atoms:
Pm  0.0000  0.0000  0.0000 (multiplicity 2)
Pa  0.0000  0.0000  0.3337 (multiplicity 2)
Sb  0.0000  0.0000  0.6668 (multiplicity 2)
N  0.0000  0.5000  0.4032 (multiplicity 4)

Results
Calculated density (g/cm³): 8.2
Density of states at the Fermi level (states/eV/f.u.): 2.32
VASP energy (eV per atom): -8.42

---

Compound: Pm3ScPa2N6
Source: Alexandria via LeMat-Bulk
Functional: GGA-PBE
Structure: relaxed

a = 6.0490 Å, b = 10.4845 Å, c = 6.1274 Å
α = 90.00°, β = 109.14°, γ = 90.00°
Space group C2/m (No. 12)
One atom of each set of equivalent atoms:
Pm  0.0000  0.0000  0.0000 (multiplicity 2)
Pm  0.0000  0.3352  0.0000 (multiplicity 4)
Sc  0.0000  0.5000  0.5000 (multiplicity 2)
Pa  0.0000  0.1667  0.5000 (multiplicity 4)
N  0.2385  0.0000  0.7192 (multiplicity 4)
N  0.2401  0.3322  0.7164 (multiplicity 8)

Results
Calculated density (g/cm³): 9.3
Density of states at the Fermi level (states/eV/f.u.): 5.33
VASP energy (eV per atom): -9.08

---

Compound: PmSc2PaN4
Source: Alexandria via LeMat-Bulk
Functional: GGA-PBE
Structure: relaxed

a = 5.8309 Å, b = 3.3951 Å, c = 5.8876 Å
α = 90.00°, β = 109.22°, γ = 90.00°
Space group P2/m (No. 10)
One atom of each set of equivalent atoms:
Pm  0.0000  0.0000  0.0000 (multiplicity 1)
Sc  0.5000  0.0000  0.5000 (multiplicity 1)
Sc  0.5000  0.5000  0.0000 (multiplicity 1)
Pa  0.0000  0.5000  0.5000 (multiplicity 1)
N  0.2632  0.5000  0.2749 (multiplicity 2)
N  0.2663  0.0000  0.7447 (multiplicity 2)

Results
Calculated density (g/cm³): 7.9
Density of states at the Fermi level (states/eV/f.u.): 3.09
VASP energy (eV per atom): -9.19

---

Compound: PmPaSe2N
Source: Alexandria via LeMat-Bulk
Functional: GGA-PBE
Structure: relaxed

a = 4.0013 Å, b = 4.0013 Å, c = 14.1299 Å
α = 90.00°, β = 90.00°, γ = 90.00°
Space group P4/nmm (No. 129, origin choice 2)
One atom of each set of equivalent atoms:
Pm  0.2500  0.2500  0.1011 (multiplicity 2)
Pa  0.2500  0.2500  0.5820 (multiplicity 2)
Se  0.2500  0.2500  0.3145 (multiplicity 2)
Se  0.2500  0.2500  0.8851 (multiplicity 2)
N  0.2500  0.7500  0.5000 (multiplicity 2)

Results
Calculated density (g/cm³): 8.0
Density of states at the Fermi level (states/eV/f.u.): 3.16
VASP energy (eV per atom): -7.69

---

Compound: PmPaSeN2
Source: Alexandria via LeMat-Bulk
Functional: GGA-PBE
Structure: relaxed

a = 3.9327 Å, b = 3.9327 Å, c = 12.4025 Å
α = 90.00°, β = 90.00°, γ = 90.00°
Space group I4mm (No. 107)
One atom of each set of equivalent atoms:
Pm  0.0000  0.0000  0.0000 (multiplicity 2)
Pa  0.0000  0.0000  0.3160 (multiplicity 2)
Se  0.0000  0.0000  0.6560 (multiplicity 2)
N  0.0000  0.5000  0.3936 (multiplicity 4)

Results
Calculated density (g/cm³): 8.4
Density of states at the Fermi level (states/eV/f.u.): 0.00
VASP energy (eV per atom): -8.64

---

Compound: PmPa2SiN5
Source: Alexandria via LeMat-Bulk
Functional: GGA-PBE
Structure: relaxed

a = 6.5945 Å, b = 6.5945 Å, c = 5.5155 Å
α = 90.00°, β = 90.00°, γ = 90.00°
Space group P4/mbm (No. 127)
One atom of each set of equivalent atoms:
Pm  0.0000  0.0000  0.0000 (multiplicity 2)
Pa  0.1775  0.3225  0.5000 (multiplicity 4)
Si  0.0000  0.5000  0.0000 (multiplicity 2)
N  0.0000  0.0000  0.5000 (multiplicity 2)
N  0.1392  0.6392  0.2361 (multiplicity 8)

Results
Calculated density (g/cm³): 9.8
Density of states at the Fermi level (states/eV/f.u.): 3.72
VASP energy (eV per atom): -9.14

---

Compound: PmPaSiN4
Source: Alexandria via LeMat-Bulk
Functional: GGA-PBE
Structure: relaxed

a = 5.5312 Å, b = 5.5262 Å, c = 6.7550 Å
α = 90.00°, β = 107.64°, γ = 90.00°
Space group P2_1/m (No. 11)
One atom of each set of equivalent atoms:
Pm  0.2177  0.2500  0.4286 (multiplicity 2)
Pa  0.2802  0.2500  0.9543 (multiplicity 2)
Si  0.2568  0.7500  0.1895 (multiplicity 2)
N  0.0512  0.7500  0.3418 (multiplicity 2)
N  0.0571  0.7500  0.9300 (multiplicity 2)
N  0.4657  0.5077  0.2285 (multiplicity 4)

Results
Calculated density (g/cm³): 7.8
VASP energy (eV per atom): -8.88

---

Compound: Pm3SmPa2N6
Source: Alexandria via LeMat-Bulk
Functional: GGA-PBE
Structure: relaxed

a = 6.1723 Å, b = 10.6938 Å, c = 6.1866 Å
α = 90.00°, β = 109.41°, γ = 90.00°
Space group C2/m (No. 12)
One atom of each set of equivalent atoms:
Pm  0.0000  0.0000  0.0000 (multiplicity 2)
Pm  0.0000  0.3346  0.0000 (multiplicity 4)
Sm  0.0000  0.5000  0.5000 (multiplicity 2)
Pa  0.0000  0.1668  0.5000 (multiplicity 4)
N  0.2223  0.0000  0.7233 (multiplicity 4)
N  0.2488  0.1760  0.2756 (multiplicity 8)

Results
Calculated density (g/cm³): 9.8
Density of states at the Fermi level (states/eV/f.u.): 5.15
VASP energy (eV per atom): -8.92

---

Compound: Pm3Sm2PaN6
Source: Alexandria via LeMat-Bulk
Functional: GGA-PBE
Structure: relaxed

a = 6.2014 Å, b = 10.7357 Å, c = 6.2029 Å
α = 90.00°, β = 109.46°, γ = 90.00°
Space group C2/m (No. 12)
One atom of each set of equivalent atoms:
Pm  0.0000  0.0000  0.0000 (multiplicity 2)
Pm  0.0000  0.3325  0.0000 (multiplicity 4)
Sm  0.0000  0.1663  0.5000 (multiplicity 4)
Pa  0.0000  0.5000  0.5000 (multiplicity 2)
N  0.2341  0.5000  0.2641 (multiplicity 4)
N  0.2350  0.3436  0.7362 (multiplicity 8)

Results
Calculated density (g/cm³): 9.0
Density of states at the Fermi level (states/eV/f.u.): 2.79
VASP energy (eV per atom): -8.49

---

Compound: PmSmPa2N4
Source: Alexandria via LeMat-Bulk
Functional: GGA-PBE
Structure: relaxed

a = 5.0338 Å, b = 5.0338 Å, c = 9.9408 Å
α = 90.00°, β = 90.00°, γ = 90.00°
Space group I-4m2 (No. 119)
One atom of each set of equivalent atoms:
Pm  0.0000  0.0000  0.0000 (multiplicity 2)
Sm  0.0000  0.5000  0.2500 (multiplicity 2)
Pa  0.0000  0.0000  0.5000 (multiplicity 2)
Pa  0.0000  0.5000  0.7500 (multiplicity 2)
N  0.0000  0.0000  0.2652 (multiplicity 4)
N  0.0000  0.5000  0.5147 (multiplicity 4)

Results
Calculated density (g/cm³): 10.7
Density of states at the Fermi level (states/eV/f.u.): 5.85
VASP energy (eV per atom): -9.29

---

Compound: PmSm2PaN4
Source: Alexandria via LeMat-Bulk
Functional: GGA-PBE
Structure: relaxed

a = 6.1586 Å, b = 3.5783 Å, c = 6.1713 Å
α = 90.00°, β = 109.22°, γ = 90.00°
Space group P2/m (No. 10)
One atom of each set of equivalent atoms:
Pm  0.0000  0.0000  0.0000 (multiplicity 1)
Sm  0.5000  0.0000  0.5000 (multiplicity 1)
Sm  0.5000  0.5000  0.0000 (multiplicity 1)
Pa  0.0000  0.5000  0.5000 (multiplicity 1)
N  0.2302  0.0000  0.7286 (multiplicity 2)
N  0.2354  0.5000  0.2676 (multiplicity 2)

Results
Calculated density (g/cm³): 9.5
Density of states at the Fermi level (states/eV/f.u.): 3.82
VASP energy (eV per atom): -8.69

---

Compound: PmSm3Pa2N6
Source: Alexandria via LeMat-Bulk
Functional: GGA-PBE
Structure: relaxed

a = 6.1651 Å, b = 10.6798 Å, c = 6.1618 Å
α = 90.00°, β = 109.47°, γ = 90.00°
Space group C2/m (No. 12)
One atom of each set of equivalent atoms:
Pm  0.0000  0.0000  0.0000 (multiplicity 2)
Sm  0.0000  0.1654  0.5000 (multiplicity 4)
Sm  0.0000  0.5000  0.5000 (multiplicity 2)
Pa  0.0000  0.3331  0.0000 (multiplicity 4)
N  0.2225  0.5000  0.2272 (multiplicity 4)
N  0.2469  0.3234  0.7718 (multiplicity 8)

Results
Calculated density (g/cm³): 9.9
Density of states at the Fermi level (states/eV/f.u.): 5.21
VASP energy (eV per atom): -8.92

---

Number 1: uncorrected formation energy -12.39 eV/f.u.. Number 2: uncorrected formation energy -11.92 eV/f.u.. Number 3: uncorrected formation energy -12.20 eV/f.u.. Number 4: uncorrected formation energy -11.32 eV/f.u.. Number 5: uncorrected formation energy -9.18 eV/f.u.. Number 6: uncorrected formation energy -8.14 eV/f.u.. Number 7: uncorrected formation energy -9.98 eV/f.u.. Number 8: uncorrected formation energy -11.28 eV/f.u.. Number 9: uncorrected formation energy -7.09 eV/f.u.. Number 10: uncorrected formation energy -19.39 eV/f.u.. Number 11: uncorrected formation energy -13.27 eV/f.u.. Number 12: uncorrected formation energy -8.91 eV/f.u.. Number 13: uncorrected formation energy -8.80 eV/f.u.. Number 14: uncorrected formation energy -11.45 eV/f.u.. Number 15: uncorrected formation energy -9.16 eV/f.u.. Number 16: uncorrected formation energy -19.10 eV/f.u.. Number 17: uncorrected formation energy -18.75 eV/f.u.. Number 18: uncorrected formation energy -12.54 eV/f.u.. Number 19: uncorrected formation energy -12.52 eV/f.u.. Number 20: uncorrected formation energy -19.16 eV/f.u..